Record 1
# Ca3Sb2O (PBE-GGA, relaxed)
# **Formation energy from raw total energies**: -1.29 eV/atom
# **Crystal system**: orthorhombic
data_Ca3Sb2O
_chemical_formula_sum 'Ca6 Sb4 O2'
_cell_length_a 3.7223
_cell_length_b 5.1590
_cell_length_c 16.7098
_cell_angle_alpha 90.00
_cell_angle_beta 90.00
_cell_angle_gamma 90.00
_space_group_name_H-M_alt 'I m m m'
_space_group_IT_number 71
_space_group_name_Hall '-I 2 2'
loop_
_atom_site_label
_atom_site_fract_x
_atom_site_fract_y
_atom_site_fract_z
_atom_site_occupancy
Ca1 0.0000 0.0000 0.0000 1
Ca2 0.0000 0.5000 0.1315 1
Sb1 0.0000 0.5000 0.3376 1
O1 0.0000 0.5000 0.0000 1

---

Record 2
# TaAgPb2 (PBE-GGA, relaxed)
# **Relative energy among the computed polymorphs**: 1.16 eV per formula unit
# **Energy relative to the elements**: 2.49 eV per formula unit
# **Crystal system**: tetragonal
data_TaAgPb2
_chemical_formula_sum 'Ta2 Ag2 Pb4'
_cell_length_a 4.4601
_cell_length_b 4.4601
_cell_length_c 9.0434
_cell_angle_alpha 90.00
_cell_angle_beta 90.00
_cell_angle_gamma 90.00
_space_group_name_H-M_alt 'I 4/m m m'
_space_group_IT_number 139
_space_group_name_Hall '-I 4 2'
loop_
_atom_site_label
_atom_site_fract_x
_atom_site_fract_y
_atom_site_fract_z
_atom_site_occupancy
Ta1 0.0000 0.0000 0.0000 1
Ag1 0.0000 0.0000 0.5000 1
Pb1 0.0000 0.5000 0.2500 1

---

Record 3
# AcPrTl3 (PBE-GGA, relaxed)
# **Energy relative to the elements**: -1.54 eV per formula unit
# **Crystal system**: orthorhombic
data_AcPrTl3
_chemical_formula_sum 'Ac4 Pr4 Tl12'
_cell_length_a 8.0153
_cell_length_b 8.4426
_cell_length_c 9.7445
_cell_angle_alpha 90.00
_cell_angle_beta 90.00
_cell_angle_gamma 90.00
_space_group_name_H-M_alt 'P n n m'
_space_group_IT_number 58
_space_group_name_Hall '-P 2 2n'
loop_
_atom_site_label
_atom_site_fract_x
_atom_site_fract_y
_atom_site_fract_z
_atom_site_occupancy
Ac1 0.1913 0.1525 0.0000 1
Pr1 0.1852 0.1494 0.5000 1
Tl1 0.0000 0.5000 0.2296 1
Tl2 0.1274 0.8618 0.2487 1

---

Record 4
# FeMoPd2 (PBE-GGA, relaxed)
# **Relative energy among the computed polymorphs**: 1.74 eV per formula unit
# **Energy relative to the elements**: 1.97 eV per formula unit
# **Crystal system**: tetragonal
data_FeMoPd2
_chemical_formula_sum 'Fe4 Mo4 Pd8'
_cell_length_a 3.6600
_cell_length_b 3.6600
_cell_length_c 18.1102
_cell_angle_alpha 90.00
_cell_angle_beta 90.00
_cell_angle_gamma 90.00
_space_group_name_H-M_alt 'I -4 2 d'
_space_group_IT_number 122
_space_group_name_Hall 'I -4 2bw'
loop_
_atom_site_label
_atom_site_fract_x
_atom_site_fract_y
_atom_site_fract_z
_atom_site_occupancy
Fe1 0.0000 0.0000 0.0000 1
Mo1 0.0000 0.0000 0.5000 1
Pd1 0.2425 0.2500 0.1250 1

---

Record 5
# AcAl2Cu4Si (PBE-GGA, relaxed)
# **Formation energy from raw total energies**: -0.18 eV/atom
# **Crystal system**: trigonal
data_AcAl2Cu4Si
_chemical_formula_sum 'Ac3 Al6 Cu12 Si3'
_cell_length_a 4.1714
_cell_length_b 4.1714
_cell_length_c 27.4052
_cell_angle_alpha 90.00
_cell_angle_beta 90.00
_cell_angle_gamma 120.00
_space_group_name_H-M_alt 'R -3 m'
_space_group_IT_number 166
_space_group_name_Hall '-R 3 2"'
loop_
_atom_site_label
_atom_site_fract_x
_atom_site_fract_y
_atom_site_fract_z
_atom_site_occupancy
Ac1 0.0000 0.0000 0.0000 1
Al1 0.0000 0.0000 0.2408 1
Cu1 0.0000 0.0000 0.1341 1
Cu2 0.0000 0.0000 0.4135 1
Si1 0.0000 0.0000 0.5000 1

---

Record 6
# HfScRuAu (PBE-GGA, relaxed)
# **Energy relative to the elements**: -2.36 eV per formula unit
# **Crystal system**: cubic
data_HfScRuAu
_chemical_formula_sum 'Hf4 Sc4 Ru4 Au4'
_cell_length_a 6.6368
_cell_length_b 6.6368
_cell_length_c 6.6368
_cell_angle_alpha 90.00
_cell_angle_beta 90.00
_cell_angle_gamma 90.00
_space_group_name_H-M_alt 'F -4 3 m'
_space_group_IT_number 216
_space_group_name_Hall 'F -4 2 3'
loop_
_atom_site_label
_atom_site_fract_x
_atom_site_fract_y
_atom_site_fract_z
_atom_site_occupancy
Hf1 0.0000 0.0000 0.0000 1
Sc1 0.0000 0.0000 0.5000 1
Ru1 0.2500 0.2500 0.7500 1
Au1 0.2500 0.2500 0.2500 1

---

Record 7
# Cs4Pu3IBr12 (PBE-GGA, relaxed)
# **Formation energy from raw total energies**: -1.48 eV/atom
# **Crystal system**: cubic
data_Cs4Pu3IBr12
_chemical_formula_sum 'Cs8 Pu6 I2 Br24'
_cell_length_a 12.1578
_cell_length_b 12.1578
_cell_length_c 12.1578
_cell_angle_alpha 90.00
_cell_angle_beta 90.00
_cell_angle_gamma 90.00
_space_group_name_H-M_alt 'I m -3 m'
_space_group_IT_number 229
_space_group_name_Hall '-I 4 2 3'
loop_
_atom_site_label
_atom_site_fract_x
_atom_site_fract_y
_atom_site_fract_z
_atom_site_occupancy
Cs1 0.2500 0.2500 0.2500 1
Pu1 0.0000 0.0000 0.5000 1
I1 0.0000 0.0000 0.0000 1
Br1 0.0000 0.0000 0.2754 1
Br2 0.0000 0.2500 0.5000 1

---

Record 8
# K3Cd2Au7 (PBE-GGA, relaxed)
# **Energy relative to the elements**: -3.15 eV per formula unit
# **Crystal system**: trigonal
data_K3Cd2Au7
_chemical_formula_sum 'K9 Cd6 Au21'
_cell_length_a 5.9075
_cell_length_b 5.9075
_cell_length_c 28.2753
_cell_angle_alpha 90.00
_cell_angle_beta 90.00
_cell_angle_gamma 120.00
_space_group_name_H-M_alt 'R -3 m'
_space_group_IT_number 166
_space_group_name_Hall '-R 3 2"'
loop_
_atom_site_label
_atom_site_fract_x
_atom_site_fract_y
_atom_site_fract_z
_atom_site_occupancy
K1 0.0000 0.0000 0.0000 1
K2 0.0000 0.0000 0.1427 1
Cd1 0.0000 0.0000 0.3320 1
Au1 0.0000 0.0000 0.5000 1
Au2 0.0012 0.5006 0.0821 1

---

For reference, volume by record: 320.9, 179.9, 659.4, 242.6, 413.0, 292.3, 1797.1, 854.6 Å³ per cell.
For reference, ρ by record: 3.93, 12.98, 9.88, 9.98, 6.79, 11.85, 4.34, 10.03 g/cm3.